Compound: LiMoCl2
Source: Alexandria
Functional: PBE
Structure: relaxed

Computed properties:
* offset from the most stable computed form: 372 meV/atom
* crystal system: tetragonal
* calculated density: 3.5 g/cm³

Cell: 5.7562 5.7562 6.4268 Å, 63.40 63.40 90.00°
Closest atoms and distances in Å follow each position.
Positions (direct):
1 Cl 0.1494 0.6250 0.2500  2 Li 2.30, 2 Mo 2.47
2 Cl 0.8750 0.8506 0.7500  2 Li 2.30, 2 Mo 2.47
3 Cl 0.3750 0.3994 0.7500  2 Li 2.30, 2 Mo 2.47
4 Cl 0.6006 0.1250 0.2500  2 Li 2.30, 2 Mo 2.47
5 Mo 0.0000 0.0000 0.0000  4 Cl 2.47
6 Mo 0.7500 0.2500 0.5000  4 Cl 2.47
7 Li 0.2500 0.7500 0.5000  4 Cl 2.30
8 Li 0.5000 0.5000 0.0000  4 Cl 2.30

Compound: Li2MoCl
Source: Alexandria
Functional: PBE
Structure: relaxed

Computed properties:
* offset from the most stable computed form: 345 meV/atom
* crystal system: monoclinic
* calculated density: 3.6 g/cm³

Cell: 4.5539 2.7814 5.2694 Å, 89.63 90.00 90.00°
Closest atoms and distances in Å follow each position.
Positions (direct):
1 Li 0.5000 0.1293 0.2976  2 Cl 2.42-2.43
2 Li 0.0000 0.1221 0.0148  4 Li 2.72-2.78, 4 Mo 2.96-2.99
3 Mo 0.0000 0.6250 0.5125  2 Cl 2.43
4 Cl 0.5000 0.6236 0.6750  2 Li 2.42-2.43, 2 Mo 2.43

Compound: LiMo3Cl
Source: Alexandria
Functional: PBE
Structure: relaxed

Computed properties:
* offset from the most stable computed form: 0 meV/atom
* crystal system: cubic
* calculated density: 6.3 g/cm³

Cell: 4.4247 4.4247 4.4247 Å, 90.00 90.00 90.00°
Closest atoms and distances in Å follow each position.
Positions (direct):
1 Li 0.5000 0.5000 0.5000  12 Mo 3.13
2 Mo 0.5000 0.0000 0.0000  2 Cl 2.21
3 Mo 0.0000 0.5000 0.0000  2 Cl 2.21
4 Mo 0.0000 0.0000 0.5000  2 Cl 2.21
5 Cl 0.0000 0.0000 0.0000  6 Mo 2.21

Compound: Li2MoCl
Source: Alexandria
Functional: PBE
Structure: relaxed

Computed properties:
* offset from the most stable computed form: 585 meV/atom
* crystal system: tetragonal
* calculated density: 3.9 g/cm³

Cell: 7.1815 7.1815 5.6063 Å, 50.17 50.17 90.00°
Closest atoms and distances in Å follow each position.
Positions (direct):
1 Li 0.5667 0.1250 0.2500  2 Cl 2.34, 2 Li 2.52
2 Li 0.8750 0.8167 0.7500  2 Cl 2.34, 2 Li 2.52
3 Li 0.3750 0.4333 0.7500  2 Cl 2.34, 2 Li 2.52
4 Li 0.1833 0.6250 0.2500  2 Cl 2.34, 2 Li 2.52
5 Cl 0.2500 0.7500 0.5000  4 Li 2.34, 2 Mo 2.38
6 Cl 0.5000 0.5000 0.0000  4 Li 2.34, 2 Mo 2.38
7 Mo 0.0000 0.0000 0.0000  2 Cl 2.38
8 Mo 0.7500 0.2500 0.5000  2 Cl 2.38

Compound: LiMoCl2
Source: Alexandria
Functional: PBE
Structure: relaxed

Computed properties:
* offset from the most stable computed form: 244 meV/atom
* crystal system: monoclinic
* calculated density: 4.4 g/cm³

Cell: 4.0983 4.0983 5.7358 Å, 75.01 75.01 44.85°
Closest atoms and distances in Å follow each position.
Positions (direct):
1 Li 0.7500 0.7500 0.7500  6 Cl 2.58-2.79
2 Cl 0.0048 0.0048 0.0195  3 Mo 2.55-2.56, 3 Li 2.58-2.79
3 Cl 0.4952 0.4952 0.4805  3 Mo 2.55-2.56, 3 Li 2.58-2.79
4 Mo 0.2500 0.2500 0.2500  6 Cl 2.55-2.56

Compound: LiMoCl2
Source: Alexandria
Functional: PBE
Structure: relaxed

Computed properties:
* offset from the most stable computed form: 0 meV/atom
* crystal system: trigonal
* calculated density: 4.3 g/cm³

Cell: 8.0839 8.0839 8.0839 Å, 22.34 22.34 22.34°
Closest atoms and distances in Å follow each position.
Positions (direct):
1 Mo 0.0000 0.0000 0.0000  2 Cl 2.37
2 Cl 0.1004 0.1004 0.1004  1 Mo 2.37, 3 Li 2.39
3 Cl 0.8996 0.8996 0.8996  1 Mo 2.37, 3 Li 2.39
4 Li 0.5000 0.5000 0.5000  6 Cl 2.39

Compound: LiMoCl2
Source: Alexandria
Functional: PBE
Structure: relaxed

Computed properties:
* offset from the most stable computed form: 132 meV/atom
* crystal system: monoclinic
* calculated density: 4.4 g/cm³

Cell: 3.0469 3.0373 7.1153 Å, 89.62 90.00 90.00°
Closest atoms and distances in Å follow each position.
Positions (direct):
1 Li 0.5000 0.2500 0.2500  8 Cl 2.65-2.68
2 Cl 0.0000 0.7537 0.4707  2 Mo 2.50, 4 Li 2.65-2.68
3 Cl 0.0000 0.7463 0.0293  2 Mo 2.50, 4 Li 2.65-2.68
4 Mo 0.5000 0.7500 0.7500  4 Cl 2.50

Compound: Li2MoCl
Source: Alexandria
Functional: PBE
Structure: relaxed

Computed properties:
* offset from the most stable computed form: 784 meV/atom
* crystal system: tetragonal
* calculated density: 3.7 g/cm³

Cell: 5.4815 5.4815 5.4815 Å, 141.06 141.06 56.25°
Closest atoms and distances in Å follow each position.
Positions (direct):
1 Li 0.5000 0.5000 0.0000  4 Li 2.58
2 Li 0.0000 0.0000 0.0000  4 Li 2.58
3 Mo 0.2500 0.7500 0.5000  4 Cl 2.58
4 Cl 0.7500 0.2500 0.5000  4 Mo 2.58